# 1
First-principles (GGA-PBE) data for a geometry-optimized Fe2CoTcH structure, as listed in the Alexandria database.

Cell and atoms, written as CIF:
```
data_Fe2CoTcH
_symmetry_space_group_name_H-M 'P 4/m m m'
_symmetry_Int_Tables_number 123
_symmetry_space_group_name_Hall '-P 4 2'
_cell_length_a 3.639
_cell_length_b 3.639
_cell_length_c 3.560
_cell_angle_alpha 90.00
_cell_angle_beta 90.00
_cell_angle_gamma 90.00
loop_
_atom_site_label
_atom_site_type_symbol
_atom_site_fract_x
_atom_site_fract_y
_atom_site_fract_z
Fe1 Fe 0.000 0.500 0.000
Co1 Co 0.000 0.000 0.500
Tc1 Tc 0.500 0.500 0.500
H1 H 0.000 0.000 0.000
```

Values from the calculation:
E_tot   -7.46 eV/atom



# 2
First-principles (GGA-PBE) data for a geometry-optimized Sm3MgGa2 structure, as listed in the Alexandria database.

Cell and atoms, written as CIF:
```
data_Sm3MgGa2
_symmetry_space_group_name_H-M 'P 4/m m m'
_symmetry_Int_Tables_number 123
_symmetry_space_group_name_Hall '-P 4 2'
_cell_length_a 3.671
_cell_length_b 3.671
_cell_length_c 11.432
_cell_angle_alpha 90.00
_cell_angle_beta 90.00
_cell_angle_gamma 90.00
loop_
_atom_site_label
_atom_site_type_symbol
_atom_site_fract_x
_atom_site_fract_y
_atom_site_fract_z
Sm1 Sm 0.000 0.000 0.000
Sm2 Sm 0.000 0.000 0.318
Mg1 Mg 0.500 0.500 0.500
Ga1 Ga 0.500 0.500 0.165
```

Values from the calculation:
Formation energy   -405 meV/atom



# 3
First-principles (GGA-PBE) data for a geometry-optimized BeSi2Ir structure, as listed in the Alexandria database.

Cell and atoms, written as CIF:
```
data_BeSi2Ir
_symmetry_space_group_name_H-M 'C 1 2/m 1'
_symmetry_Int_Tables_number 12
_cell_length_a 7.961
_cell_length_b 2.870
_cell_length_c 4.395
_cell_angle_alpha 90.00
_cell_angle_beta 95.16
_cell_angle_gamma 90.00
loop_
_symmetry_equiv_pos_as_xyz
'x,y,z'
'-x,-y,-z'
'-x,y,-z'
'x,-y,z'
'x+1/2,y+1/2,z'
'-x+1/2,-y+1/2,-z'
'-x+1/2,y+1/2,-z'
'x+1/2,-y+1/2,z'
loop_
_atom_site_label
_atom_site_type_symbol
_atom_site_fract_x
_atom_site_fract_y
_atom_site_fract_z
Be1 Be 0.000 0.000 0.000
Si1 Si 0.240 0.000 0.760
Ir1 Ir 0.000 0.500 0.500
```

Values from the calculation:
E_tot   -6.08 eV/atom



# 4
First-principles (GGA-PBE) data for a geometry-optimized VCuSi3 structure, as listed in the Alexandria database.

Cell and atoms, written as CIF:
```
data_VCuSi3
_symmetry_space_group_name_H-M 'P m -3 m'
_symmetry_Int_Tables_number 221
_symmetry_space_group_name_Hall '-P 4 2 3'
_cell_length_a 4.540
_cell_length_b 4.540
_cell_length_c 4.540
_cell_angle_alpha 90.00
_cell_angle_beta 90.00
_cell_angle_gamma 90.00
loop_
_atom_site_label
_atom_site_type_symbol
_atom_site_fract_x
_atom_site_fract_y
_atom_site_fract_z
V1 V 0.000 0.000 0.000
Cu1 Cu 0.500 0.500 0.500
Si1 Si 0.000 0.000 0.500
```

Values from the calculation:
E_tot   -5.22 eV/atom



# 5
First-principles (GGA-PBE) data for a geometry-optimized LiTl3Cu structure, as listed in the Alexandria database.

Cell and atoms, written as CIF:
```
data_LiTl3Cu
_symmetry_space_group_name_H-M 'P m -3 m'
_symmetry_Int_Tables_number 221
_symmetry_space_group_name_Hall '-P 4 2 3'
_cell_length_a 5.244
_cell_length_b 5.244
_cell_length_c 5.244
_cell_angle_alpha 90.00
_cell_angle_beta 90.00
_cell_angle_gamma 90.00
loop_
_atom_site_label
_atom_site_type_symbol
_atom_site_fract_x
_atom_site_fract_y
_atom_site_fract_z
Li1 Li 0.000 0.000 0.000
Tl1 Tl 0.000 0.500 0.500
Cu1 Cu 0.500 0.500 0.500
```

Values from the calculation:
Formation energy   180 meV/atom



# 6
First-principles (GGA-PBE) data for a geometry-optimized BaS structure, as listed in the Alexandria database.

Cell and atoms, written as CIF:
```
data_BaS
_symmetry_space_group_name_H-M 'P m m n'
_symmetry_Int_Tables_number 59
_cell_length_a 5.114
_cell_length_b 15.752
_cell_length_c 7.195
_cell_angle_alpha 90.00
_cell_angle_beta 90.00
_cell_angle_gamma 90.00
loop_
_symmetry_equiv_pos_as_xyz
'x,y,z'
'-x,-y,-z'
'-x+1/2,-y+1/2,z'
'x+1/2,y+1/2,-z'
'x+1/2,-y,-z'
'-x+1/2,y,z'
'-x,y+1/2,-z'
'x,-y+1/2,z'
loop_
_atom_site_label
_atom_site_type_symbol
_atom_site_fract_x
_atom_site_fract_y
_atom_site_fract_z
Ba1 Ba 0.250 0.099 0.113
Ba2 Ba 0.250 0.750 0.381
S1 S 0.250 0.250 0.386
S2 S 0.250 0.597 0.120
```

Values from the calculation:
E_tot   -4.83 eV/atom



# 7
First-principles (GGA-PBE) data for a geometry-optimized Pm7Pr3Ho2 structure, as listed in the Alexandria database.

Cell and atoms, written as CIF:
```
data_Pm7Pr3Ho2
_symmetry_space_group_name_H-M 'P 1 2/m 1'
_symmetry_Int_Tables_number 10
_cell_length_a 6.492
_cell_length_b 3.592
_cell_length_c 17.880
_cell_angle_alpha 90.00
_cell_angle_beta 96.18
_cell_angle_gamma 90.00
loop_
_symmetry_equiv_pos_as_xyz
'x,y,z'
'-x,-y,-z'
'-x,y,-z'
'x,-y,z'
loop_
_atom_site_label
_atom_site_type_symbol
_atom_site_fract_x
_atom_site_fract_y
_atom_site_fract_z
Pm1 Pm 0.000 0.000 0.000
Pm2 Pm 0.224 0.500 0.169
Pm3 Pm 0.255 0.500 0.498
Pm4 Pm 0.269 0.000 0.832
Pr1 Pr 0.453 0.000 0.339
Pr2 Pr 0.500 0.500 0.000
Ho1 Ho 0.054 0.500 0.671
```

Values from the calculation:
Formation energy   77 meV/atom



# 8
First-principles (GGA-PBE) data for a geometry-optimized Tb5Ho6Mg2 structure, as listed in the Alexandria database.

Cell and atoms, written as CIF:
```
data_Tb5Ho6Mg2
_symmetry_space_group_name_H-M 'P b a m'
_symmetry_Int_Tables_number 55
_cell_length_a 10.310
_cell_length_b 22.359
_cell_length_c 3.535
_cell_angle_alpha 90.00
_cell_angle_beta 90.00
_cell_angle_gamma 90.00
loop_
_symmetry_equiv_pos_as_xyz
'x,y,z'
'-x,-y,-z'
'-x,-y,z'
'x,y,-z'
'x+1/2,-y+1/2,-z'
'-x+1/2,y+1/2,z'
'-x+1/2,y+1/2,-z'
'x+1/2,-y+1/2,z'
loop_
_atom_site_label
_atom_site_type_symbol
_atom_site_fract_x
_atom_site_fract_y
_atom_site_fract_z
Tb1 Tb 0.000 0.000 0.000
Tb2 Tb 0.078 0.252 0.000
Tb3 Tb 0.166 0.506 0.000
Ho1 Ho 0.019 0.387 0.500
Ho2 Ho 0.143 0.118 0.500
Ho3 Ho 0.169 0.866 0.000
Mg1 Mg 0.172 0.739 0.500
```

Values from the calculation:
Formation energy   141 meV/atom